Here is Sr3AgGe after structural relaxation from Alexandria via LeMat-Bulk. Energies are from PBE.

Geometry as POSCAR:
```
Sr3AgGe
1.0
6.052 0.000 0.000
0.000 6.052 0.000
0.000 0.000 6.052
Sr Ge Ag
3 1 1
direct
0.000 0.500 0.000
0.000 0.000 0.500
0.500 0.000 0.000
0.000 0.000 0.000
0.500 0.500 0.500
```

The space group is No. 221. The value obtained for the energy above the most stable polymorph in this dataset is 0 meV/atom. For the total magnetic moment, the calculation gives 0.00 μB/f.u. For the density of states at the Fermi level, the calculation gives 0.8777 states/eV/atom. The formation energy from the elements comes out at -0.136 eV/atom. For the total DFT energy (no corrections), the calculation gives -13.2 eV/f.u.